[1]
Rb4Na3 | GGA-PBE | relaxed

Unit cell a=6.359 b=7.445 c=10.783 alpha=103.78 beta=90.00 gamma=115.28
Sites, in units of the cell vectors:
Na 0.342 0.684 0.065
Na 0.658 0.316 0.935
Rb 0.210 0.419 0.653
Rb 0.062 0.124 0.201
Na 0.500 0.000 0.500
Rb 0.790 0.581 0.347
Rb 0.938 0.876 0.799

Mass density, g/cm3: 1.53
Raw total energy, eV for the cell shown: -7.476
Size of the total moment, μB per cell: 0.0
ΔH_f (0 K), eV/atom: 0.05

[2]
Rb3Na4 | GGA-PBE | relaxed

Unit cell a=4.712 b=4.749 c=18.383 alpha=97.42 beta=97.36 gamma=90.00
Sites, in units of the cell vectors:
Rb 0.149 0.649 0.297
Na 0.426 0.926 0.852
Rb 0.851 0.351 0.703
Rb 0.000 0.500 0.000
Na 0.729 0.229 0.457
Na 0.271 0.771 0.543
Na 0.574 0.074 0.148

Mass density, g/cm3: 1.43
Raw total energy, eV for the cell shown: -7.898
Size of the total moment, μB per cell: 0.0
ΔH_f (0 K), eV/atom: 0.04

[3]
Rb7Na5 | GGA-PBE | relaxed

Unit cell a=4.712 b=9.254 c=19.031 alpha=94.39 beta=90.00 gamma=104.75
Sites, in units of the cell vectors:
Rb 0.815 0.631 0.315
Na 0.810 0.621 0.546
Rb 0.940 0.880 0.738
Na 0.190 0.379 0.454
Rb 0.060 0.120 0.262
Na 0.000 0.000 0.000
Na 0.407 0.815 0.124
Rb 0.308 0.616 0.912
Rb 0.500 0.000 0.500
Na 0.593 0.185 0.876
Rb 0.692 0.384 0.088
Rb 0.185 0.369 0.685

Mass density, g/cm3: 1.48
Raw total energy, eV for the cell shown: -12.853
Size of the total moment, μB per cell: 0.0
ΔH_f (0 K), eV/atom: 0.04

[4]
Rb4Na | GGA-PBE | relaxed

Unit cell a=10.454 b=10.454 c=10.454 alpha=104.15 beta=104.15 gamma=120.75
Sites, in units of the cell vectors:
Rb 0.599 0.297 0.699
Rb 0.151 0.953 0.801
Na 0.500 0.500 0.000
Rb 0.151 0.350 0.199
Rb 0.599 0.900 0.301
Na 0.250 0.750 0.500
Rb 0.100 0.401 0.699
Rb 0.047 0.849 0.199
Rb 0.703 0.401 0.301
Rb 0.650 0.849 0.801

Mass density, g/cm3: 1.42
Raw total energy, eV for the cell shown: -9.860
Size of the total moment, μB per cell: 0.0
ΔH_f (0 K), eV/atom: 0.05

[5]
Rb8Na3 | GGA-PBE | relaxed

Unit cell a=9.594 b=9.594 c=9.594 alpha=86.92 beta=86.92 gamma=86.92
Sites, in units of the cell vectors:
Rb 0.682 0.847 0.130
Rb 0.870 0.318 0.153
Rb 0.367 0.367 0.367
Na 0.000 0.500 0.500
Na 0.500 0.000 0.500
Rb 0.318 0.153 0.870
Rb 0.847 0.130 0.682
Na 0.500 0.500 0.000
Rb 0.153 0.870 0.318
Rb 0.130 0.682 0.847
Rb 0.633 0.633 0.633

Mass density, g/cm3: 1.42
Raw total energy, eV for the cell shown: -10.906
Size of the total moment, μB per cell: 0.0
ΔH_f (0 K), eV/atom: 0.07

[6]
RbNa2 | GGA-PBE | relaxed

Unit cell a=4.561 b=4.561 c=8.276 alpha=105.99 beta=105.99 gamma=90.00
Sites, in units of the cell vectors:
Rb 0.000 0.000 0.000
Na 0.304 0.304 0.607
Na 0.696 0.696 0.393

Mass density, g/cm3: 1.38
Raw total energy, eV for the cell shown: -3.502
Size of the total moment, μB per cell: 0.0
ΔH_f (0 K), eV/atom: 0.03

[7]
Rb7Na5 | GGA-PBE | relaxed

Unit cell a=9.636 b=10.434 c=10.434 alpha=77.93 beta=63.39 gamma=63.39
Sites, in units of the cell vectors:
Na 0.973 0.209 0.209
Na 0.407 0.999 0.999
Rb 0.762 0.585 0.002
Rb 0.351 0.004 0.412
Na 0.394 0.788 0.788
Na 0.180 0.790 0.213
Rb 0.866 0.997 0.997
Rb 0.351 0.412 0.004
Rb 0.762 0.002 0.585
Na 0.180 0.213 0.790
Rb 0.381 0.502 0.502
Rb 0.880 0.501 0.501

Mass density, g/cm3: 1.41
Raw total energy, eV for the cell shown: -12.905
Size of the total moment, μB per cell: 0.0
ΔH_f (0 K), eV/atom: 0.04

[8]
Rb4Na | GGA-PBE | relaxed

Unit cell a=7.657 b=7.657 c=7.657 alpha=90.00 beta=90.00 gamma=90.00
Sites, in units of the cell vectors:
Na 0.500 0.500 0.500
Rb 0.500 0.500 0.000
Rb 0.500 0.000 0.500
Rb 0.000 0.500 0.500
Rb 0.000 0.000 0.000

Mass density, g/cm3: 1.35
Raw total energy, eV for the cell shown: -4.773
Size of the total moment, μB per cell: 0.0
ΔH_f (0 K), eV/atom: 0.08

[9]
Rb6Na | GGA-PBE | relaxed

Unit cell a=8.612 b=9.018 c=9.018 alpha=120.00 beta=90.00 gamma=90.00
Sites, in units of the cell vectors:
Rb 0.261 0.638 0.000
Na 0.000 0.000 0.000
Rb 0.739 0.638 0.638
Rb 0.739 0.362 0.000
Rb 0.261 0.362 0.362
Rb 0.739 0.000 0.362
Rb 0.261 0.000 0.638

Mass density, g/cm3: 1.47
Raw total energy, eV for the cell shown: -6.791
Size of the total moment, μB per cell: 0.0
ΔH_f (0 K), eV/atom: 0.05

[10]
Rb6Na7 | GGA-PBE | relaxed

Unit cell a=7.780 b=7.780 c=15.172 alpha=75.14 beta=75.14 gamma=60.00
Sites, in units of the cell vectors:
Rb 0.347 0.347 0.959
Na 0.907 0.405 0.782
Rb 0.833 0.833 0.501
Rb 0.448 0.448 0.655
Rb 0.167 0.167 0.499
Rb 0.653 0.653 0.041
Na 0.595 0.093 0.218
Na 0.093 0.093 0.218
Na 0.093 0.595 0.218
Rb 0.552 0.552 0.345
Na 0.000 0.000 0.000
Na 0.405 0.907 0.782
Na 0.907 0.907 0.782

Mass density, g/cm3: 1.47
Raw total energy, eV for the cell shown: -14.787
Size of the total moment, μB per cell: 0.0
ΔH_f (0 K), eV/atom: 0.02

[11]
Rb2Na13 | GGA-PBE | relaxed

Unit cell a=9.425 b=9.425 c=10.349 alpha=62.91 beta=62.91 gamma=60.00
Sites, in units of the cell vectors:
Na 0.672 0.672 0.601
Na 0.500 0.500 0.500
Na 0.812 0.812 0.195
Rb 0.332 0.332 0.003
Na 0.056 0.672 0.601
Na 0.188 0.188 0.805
Na 0.180 0.812 0.195
Na 0.188 0.820 0.805
Na 0.820 0.188 0.805
Na 0.812 0.180 0.195
Rb 0.668 0.668 0.997
Na 0.328 0.328 0.399
Na 0.672 0.056 0.601
Na 0.328 0.944 0.399
Na 0.944 0.328 0.399

Mass density, g/cm3: 1.15
Raw total energy, eV for the cell shown: -18.013
Size of the total moment, μB per cell: 0.0
ΔH_f (0 K), eV/atom: 0.07

[12]
Rb8Na3 | GGA-PBE | relaxed

Unit cell a=5.069 b=9.000 c=19.497 alpha=106.68 beta=90.00 gamma=106.36
Sites, in units of the cell vectors:
Rb 0.795 0.589 0.707
Rb 0.385 0.770 0.531
Rb 0.458 0.916 0.175
Na 0.918 0.836 0.344
Rb 0.295 0.591 0.914
Rb 0.615 0.230 0.469
Rb 0.542 0.084 0.825
Na 0.000 0.000 0.000
Rb 0.205 0.411 0.293
Rb 0.705 0.409 0.086
Na 0.082 0.164 0.656

Mass density, g/cm3: 1.53
Raw total energy, eV for the cell shown: -11.380
Size of the total moment, μB per cell: 0.0
ΔH_f (0 K), eV/atom: 0.03

[13]
RbNa6 | GGA-PBE | relaxed

Unit cell a=7.941 b=7.941 c=7.941 alpha=109.47 beta=109.47 gamma=109.47
Sites, in units of the cell vectors:
Na 0.750 0.250 0.500
Na 0.500 0.250 0.750
Na 0.250 0.500 0.750
Na 0.500 0.750 0.250
Na 0.250 0.750 0.500
Na 0.750 0.500 0.250
Rb 0.000 0.000 0.000

Mass density, g/cm3: 0.96
Raw total energy, eV for the cell shown: -7.470
Size of the total moment, μB per cell: 0.0
ΔH_f (0 K), eV/atom: 0.20

[14]
Rb2Na5 | GGA-PBE | relaxed

Unit cell a=4.152 b=8.201 c=10.804 alpha=100.50 beta=90.00 gamma=104.66
Sites, in units of the cell vectors:
Rb 0.080 0.159 0.202
Rb 0.920 0.841 0.798
Na 0.190 0.380 0.602
Na 0.330 0.660 0.116
Na 0.500 0.000 0.500
Na 0.810 0.620 0.398
Na 0.670 0.340 0.884

Mass density, g/cm3: 1.36
Raw total energy, eV for the cell shown: -8.243
Size of the total moment, μB per cell: 0.0
ΔH_f (0 K), eV/atom: 0.04

[15]
Rb5Na2 | GGA-PBE | relaxed

Unit cell a=8.094 b=12.076 c=11.566 alpha=97.77 beta=110.89 gamma=89.78
Sites, in units of the cell vectors:
Rb 0.277 0.436 0.212
Rb 0.148 0.677 0.559
Rb 0.936 0.936 0.212
Na 0.766 0.586 0.178
Na 0.411 0.086 0.177
Na 0.589 0.914 0.823
Rb 0.708 0.250 0.000
Rb 0.292 0.750 0.000
Rb 0.064 0.064 0.788
Rb 0.411 0.177 0.559
Rb 0.589 0.823 0.441
Rb 0.723 0.564 0.788
Rb 0.852 0.323 0.441
Na 0.234 0.414 0.822

Mass density, g/cm3: 1.50
Raw total energy, eV for the cell shown: -14.490
Size of the total moment, μB per cell: 0.0
ΔH_f (0 K), eV/atom: 0.03

[16]
Rb4Na3 | GGA-PBE | relaxed

Unit cell a=6.979 b=6.979 c=12.111 alpha=73.25 beta=73.25 gamma=60.00
Sites, in units of the cell vectors:
Na 0.258 0.258 0.227
Rb 0.129 0.129 0.614
Na 0.000 0.000 0.000
Na 0.742 0.742 0.773
Rb 0.620 0.620 0.141
Rb 0.380 0.380 0.859
Rb 0.871 0.871 0.386

Mass density, g/cm3: 1.42
Raw total energy, eV for the cell shown: -7.478
Size of the total moment, μB per cell: 0.0
ΔH_f (0 K), eV/atom: 0.05

[17]
RbNa5 | GGA-PBE | relaxed

Unit cell a=4.222 b=6.546 c=10.204 alpha=108.71 beta=90.00 gamma=90.00
Sites, in units of the cell vectors:
Na 0.500 0.500 0.000
Na 0.500 0.810 0.620
Na 0.000 0.343 0.685
Na 0.000 0.657 0.315
Rb 0.000 0.000 0.000
Na 0.500 0.190 0.380

Mass density, g/cm3: 1.25
Raw total energy, eV for the cell shown: -7.283
Size of the total moment, μB per cell: 0.0
ΔH_f (0 K), eV/atom: 0.05

[18]
Rb5Na | GGA-PBE | relaxed

Unit cell a=5.180 b=7.845 c=12.548 alpha=108.22 beta=90.00 gamma=90.00
Sites, in units of the cell vectors:
Rb 0.500 0.500 0.000
Rb 0.000 0.680 0.360
Rb 0.000 0.320 0.640
Rb 0.500 0.861 0.721
Rb 0.500 0.139 0.279
Na 0.000 0.000 0.000

Mass density, g/cm3: 1.54
Raw total energy, eV for the cell shown: -6.014
Size of the total moment, μB per cell: 0.0
ΔH_f (0 K), eV/atom: 0.02

[19]
Rb6Na | GGA-PBE | relaxed

Unit cell a=10.529 b=10.529 c=10.529 alpha=109.47 beta=109.47 gamma=109.47
Sites, in units of the cell vectors:
Rb 0.500 0.750 0.250
Rb 0.750 0.500 0.250
Rb 0.250 0.750 0.500
Rb 0.750 0.250 0.500
Na 0.000 0.000 0.000
Rb 0.500 0.250 0.750
Rb 0.250 0.500 0.750

Mass density, g/cm3: 0.99
Raw total energy, eV for the cell shown: -4.652
Size of the total moment, μB per cell: 0.0
ΔH_f (0 K), eV/atom: 0.35

[20]
RbNa6 | GGA-PBE | relaxed

Unit cell a=5.749 b=5.749 c=9.939 alpha=90.00 beta=90.00 gamma=90.00
Sites, in units of the cell vectors:
Na 0.000 0.500 0.702
Na 0.500 0.000 0.298
Na 0.000 0.500 0.298
Na 0.000 0.000 0.500
Na 0.500 0.000 0.702
Rb 0.000 0.000 0.000
Na 0.500 0.500 0.000

Mass density, g/cm3: 1.13
Raw total energy, eV for the cell shown: -8.269
Size of the total moment, μB per cell: 0.0
ΔH_f (0 K), eV/atom: 0.09